Entry 1:
DFT (PBE) results for BeSn2Bi after structural relaxation.

Unit cell a=5.242 b=5.242 c=5.242 alpha=60.00 beta=60.00 gamma=60.00
Fractional positions:
Be 0.000 0.000 0.000
Sn 0.250 0.250 0.250
Sn 0.750 0.750 0.750
Bi 0.500 0.500 0.500

Summary:
As for the energy of formation from the pure elements: 0.57 eV per atom. As for the energy above the lowest structure with this stoichiometry: 0.2865 eV per atom. The calculation puts the theoretical density at 7.43 g/cm³. The value obtained for the total energy is -3.332 eV/atom. The value obtained for the volume is 25.46 Å³/atom. The space group is No. 225.

Entry 2:
DFT (PBE) results for Be2TcSnBi after structural relaxation.

Unit cell a=4.569 b=4.569 c=5.144 alpha=90.00 beta=90.00 gamma=90.00
Fractional positions:
Be 0.000 0.500 0.000
Be 0.500 0.000 0.000
Tc 0.000 0.000 0.000
Sn 0.500 0.500 0.500
Bi 0.000 0.000 0.500

Summary:
As for the energy of formation from the pure elements: 0.78 eV per atom. The calculation puts the theoretical density at 6.86 g/cm³. The value obtained for the total energy is -4.356 eV/atom. The value obtained for the volume is 21.48 Å³/atom. The space group is No. 123.

Entry 3:
DFT (PBE) results for Be2ZnSnBi after structural relaxation.

Unit cell a=4.474 b=4.474 c=6.559 alpha=90.00 beta=90.00 gamma=90.00
Fractional positions:
Be 0.000 0.500 0.000
Be 0.500 0.000 0.000
Zn 0.000 0.000 0.500
Sn 0.500 0.500 0.000
Bi 0.500 0.500 0.500

Summary:
As for the energy of formation from the pure elements: 0.91 eV per atom. The calculation puts the theoretical density at 5.20 g/cm³. The value obtained for the total energy is -2.408 eV/atom. The value obtained for the volume is 26.26 Å³/atom. The space group is No. 123.

Entry 4:
DFT (PBE) results for SrBe2Bi2 after structural relaxation.

Unit cell a=8.429 b=8.429 c=3.761 alpha=90.00 beta=90.00 gamma=90.00
Fractional positions:
Sr 0.000 0.000 0.000
Sr 0.500 0.500 0.000
Be 0.095 0.405 0.500
Be 0.405 0.905 0.500
Be 0.595 0.095 0.500
Be 0.905 0.595 0.500
Bi 0.141 0.641 0.000
Bi 0.359 0.141 0.000
Bi 0.641 0.859 0.000
Bi 0.859 0.359 0.000

Summary:
As for the energy of formation from the pure elements: 0.37 eV per atom. As for the energy above the lowest structure with this stoichiometry: 0.3947 eV per atom. The calculation puts the theoretical density at 6.51 g/cm³. The value obtained for the total energy is -3.009 eV/atom. The value obtained for the volume is 26.72 Å³/atom. The space group is No. 127.

Entry 5:
DFT (PBE) results for Sr3BeBi after structural relaxation.

Unit cell a=5.741 b=5.741 c=5.741 alpha=90.00 beta=90.00 gamma=90.00
Fractional positions:
Sr 0.000 0.000 0.500
Sr 0.000 0.500 0.000
Sr 0.500 0.000 0.000
Be 0.000 0.000 0.000
Bi 0.500 0.500 0.500

Summary:
As for the energy of formation from the pure elements: -0.01 eV per atom. As for the energy above the lowest structure with this stoichiometry: 0.0000 eV per atom. The calculation puts the theoretical density at 4.22 g/cm³. The value obtained for the total energy is -2.536 eV/atom. The value obtained for the volume is 37.85 Å³/atom. The space group is No. 221.

Entry 6:
DFT (PBE) results for SrBe2Bi2 after structural relaxation.

Unit cell a=7.782 b=7.782 c=7.782 alpha=148.83 beta=148.83 gamma=44.67
Fractional positions:
Sr 0.000 0.000 0.000
Be 0.250 0.750 0.500
Be 0.750 0.250 0.500
Bi 0.361 0.361 0.000
Bi 0.639 0.639 0.000

Summary:
As for the energy of formation from the pure elements: -0.02 eV per atom. As for the energy above the lowest structure with this stoichiometry: 0.0000 eV per atom. The calculation puts the theoretical density at 6.91 g/cm³. The value obtained for the total energy is -3.404 eV/atom. The value obtained for the volume is 25.18 Å³/atom. The space group is No. 139.

Entry 7:
DFT (PBE) results for SrBeBi after structural relaxation.

Unit cell a=5.877 b=4.236 c=7.078 alpha=90.00 beta=103.19 gamma=90.00
Fractional positions:
Sr 0.191 0.250 0.242
Sr 0.809 0.750 0.758
Be 0.358 0.750 0.966
Be 0.642 0.250 0.034
Bi 0.291 0.250 0.747
Bi 0.709 0.750 0.253

Summary:
As for the energy of formation from the pure elements: -0.20 eV per atom. The calculation puts the theoretical density at 5.92 g/cm³. The value obtained for the total energy is -3.298 eV/atom. The value obtained for the volume is 28.60 Å³/atom. The space group is No. 11.

Entry 8:
DFT (PBE) results for Sr2BeBi2 after structural relaxation.

Unit cell a=7.866 b=7.866 c=5.098 alpha=90.00 beta=90.00 gamma=90.00
Fractional positions:
Sr 0.169 0.331 0.000
Sr 0.331 0.831 0.000
Sr 0.669 0.169 0.000
Sr 0.831 0.669 0.000
Be 0.000 0.000 0.500
Be 0.500 0.500 0.500
Bi 0.147 0.647 0.500
Bi 0.353 0.147 0.500
Bi 0.647 0.853 0.500
Bi 0.853 0.353 0.500

Summary:
As for the energy of formation from the pure elements: -0.21 eV per atom. The calculation puts the theoretical density at 6.34 g/cm³. The value obtained for the total energy is -3.182 eV/atom. The value obtained for the volume is 31.54 Å³/atom. The space group is No. 127.

Entry 9:
DFT (PBE) results for SrBe2Bi after structural relaxation.

Unit cell a=9.770 b=9.770 c=9.770 alpha=151.96 beta=151.96 gamma=40.07
Fractional positions:
Sr 0.375 0.625 0.750
Sr 0.625 0.375 0.250
Be 0.000 0.000 0.000
Be 0.000 0.000 0.500
Be 0.000 0.500 0.000
Be 0.500 0.000 0.500
Bi 0.125 0.875 0.250
Bi 0.875 0.125 0.750

Summary:
As for the energy of formation from the pure elements: 0.26 eV per atom. The calculation puts the theoretical density at 5.08 g/cm³. The value obtained for the total energy is -2.992 eV/atom. The value obtained for the volume is 25.71 Å³/atom. The space group is No. 141.

Entry 10:
DFT (PBE) results for Ta2BeBi after structural relaxation.

Unit cell a=10.506 b=10.506 c=10.506 alpha=158.45 beta=158.45 gamma=30.66
Fractional positions:
Ta 0.115 0.625 0.990
Ta 0.375 0.365 0.490
Ta 0.635 0.125 0.010
Ta 0.875 0.885 0.510
Be 0.000 0.000 0.000
Be 0.750 0.250 0.500
Bi 0.250 0.750 0.500
Bi 0.500 0.500 0.000

Summary:
As for the energy of formation from the pure elements: 0.77 eV per atom. The calculation puts the theoretical density at 12.32 g/cm³. The value obtained for the total energy is -7.062 eV/atom. The value obtained for the volume is 19.54 Å³/atom. The space group is No. 122.

Entry 11:
DFT (PBE) results for TaBeBi3 after structural relaxation.

Unit cell a=5.018 b=5.018 c=5.018 alpha=90.00 beta=90.00 gamma=90.00
Fractional positions:
Ta 0.000 0.000 0.000
Be 0.500 0.500 0.500
Bi 0.000 0.500 0.500
Bi 0.500 0.000 0.500
Bi 0.500 0.500 0.000

Summary:
As for the energy of formation from the pure elements: 1.13 eV per atom. As for the energy above the lowest structure with this stoichiometry: 0.0956 eV per atom. The calculation puts the theoretical density at 10.74 g/cm³. The value obtained for the total energy is -4.310 eV/atom. The value obtained for the volume is 25.27 Å³/atom. The space group is No. 221.

Entry 12:
DFT (PBE) results for TaBe3Bi after structural relaxation.

Unit cell a=4.563 b=4.563 c=4.563 alpha=90.00 beta=90.00 gamma=90.00
Fractional positions:
Ta 0.000 0.000 0.000
Be 0.000 0.500 0.500
Be 0.500 0.000 0.500
Be 0.500 0.500 0.000
Bi 0.500 0.500 0.500

Summary:
As for the energy of formation from the pure elements: 1.94 eV per atom. As for the energy above the lowest structure with this stoichiometry: 0.6392 eV per atom. The calculation puts the theoretical density at 7.29 g/cm³. The value obtained for the total energy is -3.439 eV/atom. The value obtained for the volume is 19.00 Å³/atom. The space group is No. 221.

Entry 13:
DFT (PBE) results for Ta2BeBi after structural relaxation.

Unit cell a=4.675 b=4.675 c=4.675 alpha=60.00 beta=60.00 gamma=60.00
Fractional positions:
Ta 0.250 0.250 0.250
Ta 0.750 0.750 0.750
Be 0.000 0.000 0.000
Bi 0.500 0.500 0.500

Summary:
As for the energy of formation from the pure elements: 0.77 eV per atom. The calculation puts the theoretical density at 13.33 g/cm³. The value obtained for the total energy is -7.061 eV/atom. The value obtained for the volume is 18.06 Å³/atom. The space group is No. 225.